The following is a DFT calculation (GGA+U) of crystalline FeTcP2O at its relaxed geometry.

E_tot = -30.524 eV for the cell shown
Energy above the lowest structure with this stoichiometry = 0 meV per atom

abc: 4.7775 4.7775 3.6757
angles: 90.00 90.00 90.00
Space group P4/mmm (No. 123)
Unique sites:
Fe (0.0000, 0.0000, 0.0000) [1 per cell]
Tc (0.5000, 0.5000, 0.5000) [1 per cell]
P (0.0000, 0.5000, 0.5000) [2 per cell]
O (0.5000, 0.5000, 0.0000) [1 per cell]